No. 1
Here is a geometry-optimized NiMoAu2 structure from Alexandria. Energies are from PBE-GGA.

The structure in extended XYZ format:
```
4
Lattice="-1.7024 2.5734 -2.6349 -2.8817 -2.6729 -0.7487 -2.2106 1.5572 2.9492" Properties=species:S:1:pos:R:3 pbc="T T T"
Au -2.5461 -0.5579 1.1002
Au 0.0000 0.0000 0.0000
Ni -1.9565 2.0653 0.1571
Mo -2.2920 -0.0498 -1.6918
```

Polymorph energy (0 for the lowest one) in meV per atom: 357.4
N(E_F) in states/eV/f.u.: 2.2
ΔE_f in eV/atom: 0.427
Total energy in eV/f.u.: -21.46
Total magnetization in Bohr magnetons per cell: 3.8

No. 2
Here is a geometry-optimized NiMoAu2 structure from Alexandria. Energies are from PBE-GGA.

The structure in extended XYZ format:
```
4
Lattice="0.0000 3.1614 3.1614 3.1614 0.0000 3.1614 3.1614 3.1614 0.0000" Properties=species:S:1:pos:R:3 pbc="T T T"
Au 1.5807 1.5807 1.5807
Au 4.7421 4.7421 4.7421
Ni 0.0000 0.0000 0.0000
Mo 3.1614 3.1614 3.1614
```

Polymorph energy (0 for the lowest one) in meV per atom: 269.9
N(E_F) in states/eV/f.u.: 2.6
ΔE_f in eV/atom: 0.340
Total energy in eV/f.u.: -21.81
Total magnetization in Bohr magnetons per cell: 0.0

No. 3
Here is a geometry-optimized NiMoAu2 structure from Alexandria. Energies are from PBE-GGA.

The structure in extended XYZ format:
```
4
Lattice="3.9529 0.0000 0.0000 0.0000 2.7647 0.0723 0.0000 2.6162 5.8046" Properties=species:S:1:pos:R:3 pbc="T T T"
Au 0.0000 2.6856 2.9753
Au 0.0000 2.6210 5.7677
Ni 1.9765 4.0357 4.4077
Mo 1.9765 1.3452 1.4692
```

Polymorph energy (0 for the lowest one) in meV per atom: 197.4
N(E_F) in states/eV/f.u.: 4.2
ΔE_f in eV/atom: 0.267
Total energy in eV/f.u.: -22.10
Total magnetization in Bohr magnetons per cell: 0.0

No. 4
Here is a geometry-optimized NiMoAu structure from Alexandria. Energies are from PBE-GGA.

The structure in extended XYZ format:
```
3
Lattice="4.2446 0.0000 0.0000 2.1223 3.6760 0.0000 2.1223 1.2253 3.4657" Properties=species:S:1:pos:R:3 pbc="T T T"
Ni 0.0000 0.0000 0.0000
Au 4.2446 2.4506 1.7329
Mo 6.3669 3.6760 2.5993
```

Polymorph energy (0 for the lowest one) in meV per atom: 735.3
N(E_F) in states/eV/f.u.: 5.0
ΔE_f in eV/atom: 0.814
Total energy in eV/f.u.: -17.45
Total magnetization in Bohr magnetons per cell: 0.3

No. 5
Here is a geometry-optimized NiMoAu structure from Alexandria. Energies are from PBE-GGA.

The structure in extended XYZ format:
```
3
Lattice="4.1191 0.0000 0.0000 2.0595 3.5672 0.0000 2.0595 1.1891 3.3632" Properties=species:S:1:pos:R:3 pbc="T T T"
Au 0.0000 0.0000 0.0000
Ni 6.1786 3.5672 2.5224
Mo 4.1191 2.3781 1.6816
```

Polymorph energy (0 for the lowest one) in meV per atom: 373.8
N(E_F) in states/eV/f.u.: 3.6
ΔE_f in eV/atom: 0.452
Total energy in eV/f.u.: -18.53
Total magnetization in Bohr magnetons per cell: 0.0

No. 6
Here is a geometry-optimized NiMo3Au structure from Alexandria. Energies are from PBE-GGA.

The structure in extended XYZ format:
```
5
Lattice="-3.5344 1.9615 2.6142 -2.9369 -0.2168 -3.8080 -1.4339 -4.3908 1.3559" Properties=species:S:1:pos:R:3 pbc="T T T"
Au 0.0000 0.0000 0.0000
Ni -3.9526 -1.3230 0.0810
Mo -0.7170 -2.1954 0.6779
Mo -1.7672 0.9808 1.3071
Mo -1.4685 -0.1084 -1.9040
```

Polymorph energy (0 for the lowest one) in meV per atom: 1309.6
N(E_F) in states/eV/f.u.: 9.8
ΔE_f in eV/atom: 2.543
Total energy in eV/f.u.: -28.84
Total magnetization in Bohr magnetons per cell: 0.2

No. 7
Here is a geometry-optimized NiMoAu2 structure from Alexandria. Energies are from PBE-GGA.

The structure in extended XYZ format:
```
4
Lattice="-2.5874 2.9296 2.1599 -3.2727 2.1188 -2.1778 -4.2665 -0.9991 0.8608" Properties=species:S:1:pos:R:3 pbc="T T T"
Au -2.5316 1.0123 0.2107
Au 0.0000 0.0000 0.0000
Ni -7.5949 3.0369 0.6322
Mo -5.0633 2.0246 0.4215
```

Polymorph energy (0 for the lowest one) in meV per atom: 273.8
N(E_F) in states/eV/f.u.: 2.8
ΔE_f in eV/atom: 0.344
Total energy in eV/f.u.: -21.79
Total magnetization in Bohr magnetons per cell: 0.0

No. 8
Here is a geometry-optimized NiMoAu2 structure from Alexandria. Energies are from PBE-GGA.

The structure in extended XYZ format:
```
4
Lattice="-0.4545 -4.3756 -1.9313 2.0427 -3.4308 -2.6720 2.1036 -2.6954 3.6534" Properties=species:S:1:pos:R:3 pbc="T T T"
Au 2.7444 -7.8680 -0.7842
Au 1.5962 -7.7776 -4.5396
Mo 1.8262 -5.2760 -0.5735
Ni 0.9590 -2.6373 -0.1310
```

Polymorph energy (0 for the lowest one) in meV per atom: 147.2
N(E_F) in states/eV/f.u.: 3.9
ΔE_f in eV/atom: 0.217
Total energy in eV/f.u.: -22.30
Total magnetization in Bohr magnetons per cell: 0.0

No. 9
Here is a geometry-optimized NiMoAu2 structure from Alexandria. Energies are from PBE-GGA.

The structure in extended XYZ format:
```
4
Lattice="-2.4069 0.5069 1.3469 -1.8542 -3.9577 -1.8240 1.6067 -2.5118 3.8167" Properties=species:S:1:pos:R:3 pbc="T T T"
Ni -0.1237 -3.2347 0.9963
Mo -0.4001 -1.0024 2.5818
Au 0.0000 0.0000 0.0000
Au -2.1306 -1.7254 -0.2386
```

Polymorph energy (0 for the lowest one) in meV per atom: 348.8
N(E_F) in states/eV/f.u.: 4.6
ΔE_f in eV/atom: 0.419
Total energy in eV/f.u.: -21.49
Total magnetization in Bohr magnetons per cell: 0.0

No. 10
Here is a geometry-optimized NiMoAu2 structure from Alexandria. Energies are from PBE-GGA.

The structure in extended XYZ format:
```
8
Lattice="7.2090 0.0000 0.0000 0.0000 7.2090 0.0000 3.6045 3.6045 2.6483" Properties=species:S:1:pos:R:3 pbc="T T T"
Au 1.9605 5.4068 0.6621
Au 9.0113 8.8530 1.9862
Au 5.2485 1.8023 0.6621
Au 5.4068 5.5650 1.9862
Mo 0.0000 0.0000 0.0000
Mo 7.2090 3.6045 1.3241
Ni 3.6045 7.2090 1.3241
Ni 3.6045 3.6045 0.0000
```

Polymorph energy (0 for the lowest one) in meV per atom: 652.8
N(E_F) in states/eV/f.u.: 5.7
ΔE_f in eV/atom: 0.723
Total energy in eV/f.u.: -20.28
Total magnetization in Bohr magnetons per cell: 3.6

No. 11
Here is a geometry-optimized RbNiMo2Au structure from Alexandria. Energies are from PBE-GGA.

The structure in extended XYZ format:
```
5
Lattice="4.6128 0.0000 0.0000 0.0000 4.6128 0.0000 0.0000 0.0000 5.8980" Properties=species:S:1:pos:R:3 pbc="T T T"
Ni 0.0000 0.0000 0.0000
Mo 2.3064 0.0000 0.0000
Mo 0.0000 2.3064 0.0000
Rb 0.0000 0.0000 2.9490
Au 2.3064 2.3064 2.9490
```

N(E_F) in states/eV/f.u.: 3.7
ΔE_f in eV/atom: 1.598
Total energy in eV/f.u.: -23.70
Total magnetization in Bohr magnetons per cell: 3.7

No. 12
Here is a geometry-optimized ReNiMoAu2 structure from Alexandria. Energies are from PBE-GGA.

The structure in extended XYZ format:
```
5
Lattice="4.5826 0.0000 0.0000 0.0000 4.3221 0.0000 0.0000 0.0000 4.5826" Properties=species:S:1:pos:R:3 pbc="T T T"
Au 2.2913 0.0000 0.0000
Au 0.0000 0.0000 2.2913
Re 2.2913 2.1611 2.2913
Mo 0.0000 2.1611 0.0000
Ni 0.0000 0.0000 0.0000
```

N(E_F) in states/eV/f.u.: 5.0
ΔE_f in eV/atom: 1.530
Total energy in eV/f.u.: -27.97
Total magnetization in Bohr magnetons per cell: 0.0

Look up the ΔE_f of the fifth one. 0.452 eV/atom